(1)
{"formula": "TbAgPbS3", "functional": "GGA-PBE", "state": "optimized geometry", "lattice_angstrom": [[11.8128, 0.0000, 0.0000], [0.0000, 4.1118, 0.0000], [0.0000, 0.0000, 11.6858]], "species": ["Tb", "Tb", "Tb", "Tb", "Ag", "Ag", "Ag", "Ag", "Pb", "Pb", "Pb", "Pb", "S", "S", "S", "S", "S", "S", "S", "S", "S", "S", "S", "S"], "frac_coords": [[0.0258, 0.2500, 0.1695], [0.4742, 0.7500, 0.6695], [0.5258, 0.2500, 0.3305], [0.9742, 0.7500, 0.8305], [0.2450, 0.7500, 0.3100], [0.2550, 0.2500, 0.8100], [0.7450, 0.7500, 0.1900], [0.7550, 0.2500, 0.6900], [0.1639, 0.2500, 0.5172], [0.3361, 0.7500, 0.0172], [0.6639, 0.2500, 0.9828], [0.8361, 0.7500, 0.4828], [0.0324, 0.7500, 0.3438], [0.0866, 0.2500, 0.9336], [0.2415, 0.7500, 0.6712], [0.2585, 0.2500, 0.1712], [0.4134, 0.7500, 0.4336], [0.4676, 0.2500, 0.8438], [0.5324, 0.7500, 0.1562], [0.5866, 0.2500, 0.5664], [0.7415, 0.7500, 0.8288], [0.7585, 0.2500, 0.3288], [0.9134, 0.7500, 0.0664], [0.9676, 0.2500, 0.6562]], "space_group": "Pnma, No. 62"}

(2)
{"formula": "Y2HoIn", "functional": "GGA-PBE", "state": "optimized geometry", "lattice_angstrom": [[4.8448, 0.0000, 0.0000], [0.0000, 4.8448, 0.0000], [0.0000, 0.0000, 4.8292]], "species": ["Y", "Y", "Ho", "In"], "frac_coords": [[0.0000, 0.5000, 0.0000], [0.5000, 0.0000, 0.0000], [0.0000, 0.0000, 0.5000], [0.5000, 0.5000, 0.5000]], "space_group": "P4/mmm, No. 123"}

(3)
{"formula": "Hf2Sc4Sn3C3", "functional": "GGA-PBE", "state": "optimized geometry", "lattice_angstrom": [[5.0445, -2.9139, 0.0000], [5.0445, 2.9139, 0.0000], [-3.3835, 0.0000, 14.7152]], "species": ["Hf", "Hf", "Hf", "Hf", "Sc", "Sc", "Sc", "Sc", "Sc", "Sc", "Sc", "Sc", "Sn", "Sn", "Sn", "Sn", "Sn", "Sn", "C", "C", "C", "C", "C", "C"], "frac_coords": [[0.0267, 0.8556, 0.5801], [0.1444, 0.9733, 0.9199], [0.8556, 0.0267, 0.0801], [0.9733, 0.1444, 0.4199], [0.1943, 0.3662, 0.0838], [0.3098, 0.4675, 0.4162], [0.3662, 0.1943, 0.5838], [0.4675, 0.3098, 0.9162], [0.5325, 0.6902, 0.0838], [0.6338, 0.8057, 0.4162], [0.6902, 0.5325, 0.5838], [0.8057, 0.6338, 0.9162], [0.0824, 0.2437, 0.7491], [0.2437, 0.0824, 0.2491], [0.4100, 0.5900, 0.7500], [0.5900, 0.4100, 0.2500], [0.7563, 0.9176, 0.7509], [0.9176, 0.7563, 0.2509], [0.0000, 0.5000, 0.5000], [0.1603, 0.6794, 0.0000], [0.3206, 0.8397, 0.5000], [0.5000, 0.0000, 0.0000], [0.6794, 0.1603, 0.5000], [0.8397, 0.3206, 0.0000]], "space_group": "C2/c, No. 15"}

(4)
{"formula": "Li2LaSn2Pt", "functional": "GGA-PBE", "state": "optimized geometry", "lattice_angstrom": [[5.0630, 0.0000, 0.0000], [-2.5315, 4.3847, 0.0000], [0.0000, 0.0000, 6.1965]], "species": ["Li", "Li", "La", "Sn", "Sn", "Pt"], "frac_coords": [[0.0000, 0.0000, 0.2153], [0.0000, 0.0000, 0.7847], [0.3333, 0.6667, 0.5000], [0.3333, 0.6667, 0.0000], [0.6667, 0.3333, 0.5000], [0.6667, 0.3333, 0.0000]], "space_group": "P-6m2, No. 187"}

(5)
{"formula": "ScCoSb2", "functional": "GGA-PBE", "state": "optimized geometry", "lattice_angstrom": [[3.8697, 0.0000, 0.0000], [0.0000, 6.8534, 0.0000], [0.0000, 0.0000, 6.2579]], "species": ["Sc", "Sc", "Co", "Co", "Sb", "Sb", "Sb", "Sb"], "frac_coords": [[0.0000, 0.0598, 0.0000], [0.0000, 0.9402, 0.5000], [0.5000, 0.4538, 0.9900], [0.5000, 0.5462, 0.4900], [0.0000, 0.3694, 0.6997], [0.0000, 0.6306, 0.1997], [0.5000, 0.2090, 0.3019], [0.5000, 0.7910, 0.8019]], "space_group": "Pmc2_1, No. 26"}

(6)
{"formula": "GdErNi2Pb", "functional": "GGA-PBE", "state": "optimized geometry", "lattice_angstrom": [[3.6737, 0.0000, 0.0000], [0.0000, 3.9910, 0.0000], [0.0000, 0.0000, 14.2683]], "species": ["Gd", "Gd", "Er", "Er", "Ni", "Ni", "Ni", "Ni", "Pb", "Pb"], "frac_coords": [[0.0000, 0.0000, 0.0000], [0.0000, 0.5000, 0.5000], [0.0000, 0.0000, 0.2796], [0.0000, 0.5000, 0.7796], [0.5000, 0.0000, 0.4374], [0.5000, 0.0000, 0.8386], [0.5000, 0.5000, 0.3386], [0.5000, 0.5000, 0.9374], [0.5000, 0.0000, 0.6409], [0.5000, 0.5000, 0.1409]], "space_group": "Amm2, No. 38"}

| no. | V (Å³ per cell) | uncorrected energy (eV per atom) | spin magnetization (μB/f.u.) |
| --- | --- | --- | --- |
| 1 | 567.6 | -4.926 | 0.000 |
| 2 | 113.4 | -5.333 | 0.673 |
| 3 | 432.6 | -7.818 | 0.008 |
| 4 | 137.6 | -4.116 | 0.008 |
| 5 | 166.0 | -5.783 | 0.000 |
| 6 | 209.2 | -5.328 | 0.001 |